1.
Material: NdTmGa2Ni4
Method: DFT, PBE
State: relaxed

Properties
E_tot   -5.24 eV/atom
Spin magnetization   0.002 μB per formula unit

Cell: 4.1589 4.1589 9.0068 Å, 90.00 90.00 120.00°
Sites, in units of the cell vectors:
Ga  0.3333  0.6667  0.7613
Ni  0.6667  0.3333  0.7011
Ni  0.6667  0.3333  0.2989
Ni  0.0000  0.0000  0.8233
Nd  0.0000  0.0000  0.5000
Ni  0.0000  0.0000  0.1767
Ga  0.3333  0.6667  0.2387
Tm  0.6667  0.3333  0.0000



2.
Material: TbMgSc
Method: DFT, PBE
State: relaxed

Properties
E_tot   -3.69 eV/atom
ΔE to the lowest computed polymorph   0.0000 eV per atom
Spin magnetization   0.595 μB per formula unit

Cell: 5.0480 5.0480 5.0480 Å, 60.00 60.00 60.00°
Sites, in units of the cell vectors:
Tb  0.7500  0.7500  0.7500
Mg  0.0000  0.0000  0.0000
Sc  0.2500  0.2500  0.2500



3.
Material: Zr2AlInNi4
Method: DFT, PBE
State: relaxed

Properties
E_tot   -6.22 eV/atom
Spin magnetization   0.012 μB per formula unit

Cell: 4.1930 4.1930 8.0549 Å, 90.00 90.00 120.00°
Sites, in units of the cell vectors:
Zr  0.6667  0.3333  0.7556
Ni  0.6667  0.3333  0.4035
Zr  0.3333  0.6667  0.2444
In  0.0000  0.0000  0.5000
Ni  0.3333  0.6667  0.5965
Ni  0.3333  0.6667  0.9173
Ni  0.6667  0.3333  0.0827
Al  0.0000  0.0000  0.0000



4.
Material: Sc2GaPd
Method: DFT, PBE
State: relaxed

Properties
E_tot   -5.98 eV/atom
Spin magnetization   0.004 μB per formula unit

Cell: 3.3529 3.3529 6.5933 Å, 90.00 90.00 90.00°
Sites, in units of the cell vectors:
Sc  0.0000  0.0000  0.2448
Pd  0.5000  0.5000  0.0000
Ga  0.5000  0.5000  0.5000
Sc  0.0000  0.0000  0.7552



5.
Material: LiAg3SnS4
Method: DFT, PBE
State: relaxed

Properties
E_tot   -3.77 eV/atom
ΔE to the lowest computed polymorph   0.0000 eV per atom

Cell: 6.5878 7.6356 10.3615 Å, 90.00 107.03 90.00°
Sites, in units of the cell vectors:
Sn  0.1875  0.7500  0.7755
S  0.2970  0.7500  0.5774
S  0.4576  0.7500  0.9952
Sn  0.8125  0.2500  0.2245
S  0.0410  0.5007  0.2152
Ag  0.2440  0.0529  0.0438
Ag  0.6730  0.7500  0.6950
S  0.5424  0.2500  0.0048
Li  0.9517  0.2500  0.6406
S  0.9590  0.4993  0.7848
S  0.7030  0.2500  0.4226
Ag  0.3270  0.2500  0.3050
Ag  0.7560  0.5529  0.9562
S  0.0410  0.9993  0.2152
Li  0.0483  0.7500  0.3594
Ag  0.7560  0.9471  0.9562
Ag  0.2440  0.4471  0.0438
S  0.9590  0.0007  0.7848



6.
Material: Cd2Ga2Sn
Method: DFT, PBE
State: relaxed

Properties
E_tot   -2.24 eV/atom
ΔE to the lowest computed polymorph   0.0372 eV per atom

Cell: 6.9098 6.9098 6.9098 Å, 143.97 143.97 51.87°
Sites, in units of the cell vectors:
Cd  0.3923  0.3923  0.0000
Ga  0.7500  0.2500  0.5000
Sn  0.0000  0.0000  0.0000
Ga  0.2500  0.7500  0.5000
Cd  0.6077  0.6077  0.0000